Rb3InOs (PBEsol, optimized geometry); energy = -2.250 eV/atom; D(E_F) = 5.3 states/eV/f.u.; spin magnetization = 3.1 μB/f.u.; formation energy from the elements = 32.40 kcal/mol of atoms; space group = Pm-3m
1.0
6.256 0.000 0.000
0.000 6.256 0.000
0.000 0.000 6.256
Rb In Os
3 1 1
Cartesian
0.000 3.128 0.000
0.000 0.000 3.128
3.128 0.000 0.000
3.128 3.128 3.128
0.000 0.000 0.000